1.
# VCrCoNi

A geometry-optimized VCrCoNi structure (PBE, Alexandria via LeMat-Bulk).

Properties
Space-group type   F-43m, No. 216
N(E_F)   6.807 states/eV per cell
Formation energy from the elements   83 meV per atom
Total DFT energy (no corrections)   -31.3 eV per cell
Magnetization   4.498 μB per formula unit

Structure (POSCAR):
```
VCrCoNi
1.0
0.0000 2.8905 2.8905
2.8905 0.0000 2.8905
2.8905 2.8905 0.0000
V Cr Co Ni
1 1 1 1
Direct
0.0000 0.0000 0.0000 V
0.5000 0.5000 0.5000 Cr
0.2500 0.2500 0.2500 Co
0.7500 0.7500 0.7500 Ni
```

2.
# ZnCr2CoNi

A geometry-optimized ZnCr2CoNi structure (PBE, Alexandria via LeMat-Bulk).

Properties
Space-group type   P4/mmm, No. 123
N(E_F)   9.701 states/eV per cell
Formation energy from the elements   1310 meV per atom
Total DFT energy (no corrections)   -26.9 eV per cell
Magnetization   0.000 μB per formula unit

Structure (POSCAR):
```
ZnCr2CoNi
1.0
4.1803 0.0000 0.0000
0.0000 4.1803 0.0000
0.0000 0.0000 4.3128
Zn Cr Co Ni
1 2 1 1
Direct
0.0000 0.0000 0.0000 Zn
0.0000 0.5000 0.5000 Cr
0.5000 0.0000 0.5000 Cr
0.5000 0.5000 0.0000 Co
0.5000 0.5000 0.5000 Ni
```

3.
# NpCrCo2

A geometry-optimized NpCrCo2 structure (PBE, Alexandria via LeMat-Bulk).

Properties
Space-group type   P4/mmm, No. 123
N(E_F)   5.522 states/eV per cell
Formation energy from the elements   114 meV per atom
Total DFT energy (no corrections)   -36.3 eV per cell
Magnetization   1.440 μB per formula unit

Structure (POSCAR):
```
NpCrCo2
1.0
3.8397 0.0000 0.0000
0.0000 3.8397 0.0000
0.0000 0.0000 3.7189
Np Cr Co
1 1 2
Direct
0.0000 0.0000 0.0000 Np
0.5000 0.5000 0.0000 Cr
0.0000 0.5000 0.5000 Co
0.5000 0.0000 0.5000 Co
```

N(E_F) of number 3 (NpCrCo2)? 5.522 states/eV per cell

N(E_F) of number 1 (VCrCoNi)? 6.807 states/eV per cell

Which value of formation energy from the elements does entry 3 give? 114 meV per atom